Here is a geometry-optimized Rb4Ac3MnO8 structure from Alexandria via LeMat-Bulk. Energies are from GGA+U.

Computed properties:
Energy: -6.15 eV/atom
Space-group type: C2/m (12)
Total magnetization: 4.02 Bohr magnetons per cell
Theoretical density: 6.02 Mg/m³

```
Rb4Ac3MnO8
1.0
7.285 0.000 0.000
0.000 7.738 0.344
-3.643 -3.618 5.742
O Rb Ac Mn
8 4 3 1
Direct
0.770 0.650 0.944
0.721 0.267 0.441
0.279 0.733 0.559
0.230 0.350 0.056
0.287 0.314 0.574
0.713 0.686 0.426
0.827 0.350 0.056
0.173 0.650 0.944
0.500 0.000 0.000
0.000 0.000 0.500
0.500 0.000 0.500
0.000 0.000 0.000
0.000 0.500 0.500
0.500 0.500 0.000
0.500 0.500 0.500
0.000 0.500 0.000
```